Entry 1:
## TeMoW2 (PBE-GGA)

Data for a relaxed TeMoW2 crystal.

Geometry as extended XYZ:
```
4
Lattice="-0.3904 2.7945 0.6037 -0.6830 -1.6802 2.2442 8.8755 0.5650 3.1240" Properties=species:S:1:pos:R:3 pbc="T T T"
Mo 4.2212 0.2687 1.4858
Te 6.0905 0.9790 3.7566
W 0.2357 0.0150 0.0830
W 1.6925 0.6990 2.2086
```

Calculated values
formation energy (no corrections) = 0.63 eV/atom
total moment = 0.00 μB per formula unit
space group = Cmm2


Entry 2:
## Te2MoW (PBE-GGA)

Data for a relaxed Te2MoW crystal.

Geometry as extended XYZ:
```
4
Lattice="5.1577 0.0005 0.0000 1.4949 4.9363 0.0000 -3.3263 -2.4684 3.0732" Properties=species:S:1:pos:R:3 pbc="T T T"
Mo 2.5789 0.0003 1.5366
Te 0.0000 0.0000 0.0000
Te 0.7475 2.4682 1.5366
W 3.3263 2.4684 0.0000
```

Calculated values
formation energy (no corrections) = 0.88 eV/atom
excess energy over the best structure of this formula in the dataset = 770.5 meV per atom
total moment = 0.00 μB per formula unit
space group = I-4m2


Please write out number 2 again, unchanged.
## Te2MoW (PBE-GGA)

Data for a relaxed Te2MoW crystal.

Geometry as extended XYZ:
```
4
Lattice="5.1577 0.0005 0.0000 1.4949 4.9363 0.0000 -3.3263 -2.4684 3.0732" Properties=species:S:1:pos:R:3 pbc="T T T"
Mo 2.5789 0.0003 1.5366
Te 0.0000 0.0000 0.0000
Te 0.7475 2.4682 1.5366
W 3.3263 2.4684 0.0000
```

Calculated values
formation energy (no corrections) = 0.88 eV/atom
excess energy over the best structure of this formula in the dataset = 770.5 meV per atom
total moment = 0.00 μB per formula unit
space group = I-4m2


formation energy (no corrections) of number 1 (TeMoW2)? 0.63 eV/atom


Look up the total moment of the first one. 0.00 μB per formula unit